(1)
! GGA-PBE Ni6SnPt, optimized geometry; values from VASP
&SYSTEM
  ibrav = 0, nat = 8, ntyp = 3
/
ATOMIC_SPECIES
Sn 118.71 Sn.upf
Pt 195.08 Pt.upf
Ni 58.69 Ni.upf
CELL_PARAMETERS angstrom
4.263 0.000 0.000
0.000 5.216 -0.168
0.000 -2.460 4.602
ATOMIC_POSITIONS crystal
Sn 0.500 0.416 0.584
Pt 0.000 0.083 0.917
Ni 0.000 0.591 0.409
Ni 0.500 0.421 0.086
Ni 0.000 0.592 0.933
Ni 0.000 0.067 0.408
Ni 0.500 0.914 0.579
Ni 0.500 0.915 0.085
! - formation enthalpy at 0 K (eV per atom) = -0.1030
! - mass density (g cm⁻³) = 10.996
! - space group = P-6m2


(2)
! GGA-PBE LiPm2Mg2Tl4, optimized geometry; values from VASP
&SYSTEM
  ibrav = 0, nat = 9, ntyp = 4
/
ATOMIC_SPECIES
Tl 204.38 Tl.upf
Mg 24.30 Mg.upf
Pm 145.00 Pm.upf
Li 6.94 Li.upf
CELL_PARAMETERS angstrom
6.780 -0.263 -0.415
-2.964 6.104 0.415
-2.964 -2.231 5.697
ATOMIC_POSITIONS crystal
Tl 0.529 0.265 0.265
Tl 0.000 0.735 0.265
Tl 0.471 0.735 0.735
Tl 0.000 0.265 0.735
Mg 0.000 0.284 0.284
Mg 0.000 0.716 0.716
Pm 0.500 0.250 0.750
Pm 0.500 0.750 0.250
Li 0.000 0.000 0.000
! - formation enthalpy at 0 K (eV per atom) = -0.2319
! - mass density (g cm⁻³) = 8.482
! - space group = I4/mmm


(3)
! GGA-PBE UHS2, optimized geometry; values from VASP
&SYSTEM
  ibrav = 0, nat = 4, ntyp = 3
/
ATOMIC_SPECIES
U 238.03 U.upf
S 32.06 S.upf
H 1.01 H.upf
CELL_PARAMETERS angstrom
3.972 0.000 0.000
1.986 3.440 0.000
1.986 1.147 6.306
ATOMIC_POSITIONS crystal
U 0.500 0.500 0.500
S 0.914 0.914 0.259
S 0.086 0.086 0.741
H 0.000 0.000 0.000
! - DFT total energy (eV per atom) = -6.5183
! - mass density (g cm⁻³) = 5.842
! - space group = R-3m


(4)
! GGA-PBE Pr6SnPb2, optimized geometry; values from VASP
&SYSTEM
  ibrav = 0, nat = 9, ntyp = 3
/
ATOMIC_SPECIES
Pr 140.91 Pr.upf
Pb 207.20 Pb.upf
Sn 118.71 Sn.upf
CELL_PARAMETERS angstrom
-2.660 3.611 0.052
-4.800 -3.441 -6.498
-2.096 -1.665 8.363
ATOMIC_POSITIONS crystal
Pr 0.000 0.265 0.000
Pr 0.500 0.000 0.597
Pr 0.000 0.735 0.735
Pr 0.500 0.403 0.403
Pr 0.000 0.000 0.265
Pr 0.500 0.597 0.000
Pb 0.000 0.667 0.333
Pb 0.000 0.333 0.667
Sn 0.500 0.000 0.000
! - formation enthalpy at 0 K (eV per atom) = -0.4895
! - mass density (g cm⁻³) = 7.643
! - space group = P-62m


(5)
! GGA-PBE RbZn2B2, optimized geometry; values from VASP
&SYSTEM
  ibrav = 0, nat = 5, ntyp = 3
/
ATOMIC_SPECIES
Zn 65.41 Zn.upf
B 10.81 B.upf
Rb 85.47 Rb.upf
CELL_PARAMETERS angstrom
-2.451 -1.956 -2.590
3.245 -1.452 -1.975
0.434 -6.522 1.322
ATOMIC_POSITIONS crystal
Zn 0.308 0.308 0.384
Zn 0.692 0.692 0.616
B 0.750 0.250 0.500
B 0.250 0.750 0.500
Rb 0.000 0.000 0.000
! - formation enthalpy at 0 K (eV per atom) = 0.8131
! - mass density (g cm⁻³) = 3.970
! - space group = I4/mmm


(6)
! GGA-PBE SrPmBi2, optimized geometry; values from VASP
&SYSTEM
  ibrav = 0, nat = 4, ntyp = 3
/
ATOMIC_SPECIES
Sr 87.62 Sr.upf
Bi 208.98 Bi.upf
Pm 145.00 Pm.upf
CELL_PARAMETERS angstrom
-0.153 -4.567 0.060
4.035 2.146 -0.041
-1.222 2.428 8.116
ATOMIC_POSITIONS crystal
Sr 0.000 0.500 0.500
Bi 0.512 0.256 0.767
Bi 0.488 0.744 0.233
Pm 0.000 0.000 0.000
! - formation enthalpy at 0 K (eV per atom) = -0.7970
! - mass density (g cm⁻³) = 7.329
! - space group = C2/m


(7)
! GGA-PBE BaCu8Ge6, optimized geometry; values from VASP
&SYSTEM
  ibrav = 0, nat = 15, ntyp = 3
/
ATOMIC_SPECIES
Ba 137.33 Ba.upf
Cu 63.55 Cu.upf
Ge 72.64 Ge.upf
CELL_PARAMETERS angstrom
6.202 -0.268 1.850
1.303 6.069 1.850
-0.346 -0.268 6.462
ATOMIC_POSITIONS crystal
Ba 0.000 0.000 0.000
Cu 0.493 0.118 0.786
Cu 0.786 0.493 0.118
Cu 0.772 0.772 0.772
Cu 0.118 0.786 0.493
Cu 0.882 0.214 0.507
Cu 0.507 0.882 0.214
Cu 0.214 0.507 0.882
Cu 0.228 0.228 0.228
Ge 0.352 0.583 0.190
Ge 0.648 0.417 0.810
Ge 0.417 0.810 0.648
Ge 0.190 0.352 0.583
Ge 0.583 0.190 0.352
Ge 0.810 0.648 0.417
! - formation enthalpy at 0 K (eV per atom) = 0.0510
! - mass density (g cm⁻³) = 7.127
! - space group = R-3


(8)
! GGA-PBE AcLa3Pm2, optimized geometry; values from VASP
&SYSTEM
  ibrav = 0, nat = 12, ntyp = 3
/
ATOMIC_SPECIES
La 138.91 La.upf
Pm 145.00 Pm.upf
Ac 227.00 Ac.upf
CELL_PARAMETERS angstrom
-3.650 3.506 -4.794
0.273 -2.501 -6.501
-9.854 -5.377 -3.723
ATOMIC_POSITIONS crystal
La 0.753 0.247 0.250
La 0.247 0.753 0.750
La 0.336 0.332 0.583
La 0.332 0.336 0.083
La 0.664 0.668 0.417
La 0.668 0.664 0.917
Pm 0.165 0.163 0.418
Pm 0.835 0.837 0.582
Pm 0.837 0.835 0.082
Pm 0.163 0.165 0.918
Ac 0.247 0.753 0.250
Ac 0.753 0.247 0.750
! - formation enthalpy at 0 K (eV per atom) = 0.0393
! - mass density (g cm⁻³) = 6.938
! - space group = C2/c


(9)
! GGA-PBE GdFeB, optimized geometry; values from VASP
&SYSTEM
  ibrav = 0, nat = 3, ntyp = 3
/
ATOMIC_SPECIES
B 10.81 B.upf
Fe 55.84 Fe.upf
Gd 157.25 Gd.upf
CELL_PARAMETERS angstrom
-0.028 -2.977 -2.792
3.126 -1.164 1.210
-3.016 -1.263 1.376
ATOMIC_POSITIONS crystal
B 0.167 0.000 0.000
Fe 0.167 0.667 0.333
Gd 0.667 0.333 0.667
! - formation enthalpy at 0 K (eV per atom) = -0.1778
! - mass density (g cm⁻³) = 8.356
! - space group = P-6m2


(10)
! GGA-PBE VIn2Ru2, optimized geometry; values from VASP
&SYSTEM
  ibrav = 0, nat = 10, ntyp = 3
/
ATOMIC_SPECIES
Ru 101.07 Ru.upf
In 114.82 In.upf
V 50.94 V.upf
CELL_PARAMETERS angstrom
6.408 0.000 0.000
0.000 6.408 0.000
0.000 0.000 4.298
ATOMIC_POSITIONS crystal
Ru 0.360 0.860 0.000
Ru 0.860 0.640 0.000
Ru 0.140 0.360 0.000
Ru 0.640 0.140 0.000
In 0.329 0.171 0.500
In 0.171 0.671 0.500
In 0.671 0.829 0.500
In 0.829 0.329 0.500
V 0.000 0.000 0.000
V 0.500 0.500 0.000
! - formation enthalpy at 0 K (eV per atom) = 0.0946
! - mass density (g cm⁻³) = 9.083
! - space group = P4/mbm


(11)
! GGA-PBE EuSn4Pb, optimized geometry; values from VASP
&SYSTEM
  ibrav = 0, nat = 6, ntyp = 3
/
ATOMIC_SPECIES
Sn 118.71 Sn.upf
Eu 151.96 Eu.upf
Pb 207.20 Pb.upf
CELL_PARAMETERS angstrom
-2.422 5.124 -2.770
-6.008 1.611 1.050
-1.339 5.113 3.445
ATOMIC_POSITIONS crystal
Sn 0.625 0.625 0.125
Sn 0.625 0.625 0.625
Sn 0.625 0.125 0.625
Sn 0.125 0.625 0.625
Eu 0.250 0.250 0.250
Pb 0.000 0.000 0.000
! - formation enthalpy at 0 K (eV per atom) = -0.2229
! - mass density (g cm⁻³) = 7.801
! - space group = F-43m


(12)
! GGA-PBE ReRu3Au, optimized geometry; values from VASP
&SYSTEM
  ibrav = 0, nat = 5, ntyp = 3
/
ATOMIC_SPECIES
Re 186.21 Re.upf
Au 196.97 Au.upf
Ru 101.07 Ru.upf
CELL_PARAMETERS angstrom
-0.534 0.292 -4.624
-2.908 -3.646 0.106
-3.608 2.895 0.599
ATOMIC_POSITIONS crystal
Re 0.000 0.000 0.000
Au 0.500 0.500 0.500
Ru 0.000 0.500 0.000
Ru 0.000 0.000 0.500
Ru 0.500 0.000 0.000
! - formation enthalpy at 0 K (eV per atom) = 1.6227
! - mass density (g cm⁻³) = 11.232
! - space group = Pm-3m


(13)
! GGA-PBE RbCeAuBr6, optimized geometry; values from VASP
&SYSTEM
  ibrav = 0, nat = 18, ntyp = 4
/
ATOMIC_SPECIES
Br 79.90 Br.upf
Au 196.97 Au.upf
Ce 140.12 Ce.upf
Rb 85.47 Rb.upf
CELL_PARAMETERS angstrom
7.227 0.000 0.000
-3.614 6.259 0.000
0.000 0.000 15.897
ATOMIC_POSITIONS crystal
Br 0.995 0.636 0.355
Br 0.005 0.641 0.855
Br 0.995 0.359 0.145
Br 0.636 0.995 0.855
Br 0.359 0.364 0.855
Br 0.364 0.005 0.145
Br 0.359 0.995 0.645
Br 0.636 0.641 0.645
Br 0.641 0.005 0.355
Br 0.005 0.364 0.645
Br 0.641 0.636 0.145
Br 0.364 0.359 0.355
Au 0.667 0.333 0.750
Au 0.333 0.667 0.250
Ce 0.667 0.333 0.250
Ce 0.333 0.667 0.750
Rb 0.000 0.000 0.500
Rb 0.000 0.000 0.000
! - mass density (g cm⁻³) = 4.166
! - space group = P-31c
! - raw formation energy (eV/atom) = -1.24


(14)
! GGA-PBE Tb3NiAu, optimized geometry; values from VASP
&SYSTEM
  ibrav = 0, nat = 10, ntyp = 3
/
ATOMIC_SPECIES
Tb 158.93 Tb.upf
Au 196.97 Au.upf
Ni 58.69 Ni.upf
CELL_PARAMETERS angstrom
-1.963 -0.151 -3.409
7.781 -0.441 -2.187
-0.612 -7.940 0.703
ATOMIC_POSITIONS crystal
Tb 0.374 0.716 0.767
Tb 0.923 0.813 0.411
Tb 0.033 0.033 0.010
Tb 0.582 0.130 0.654
Tb 0.219 0.406 0.409
Tb 0.737 0.441 0.013
Au 0.578 0.123 0.276
Au 0.378 0.723 0.145
Ni 0.191 0.348 0.776
Ni 0.765 0.498 0.646
! - formation enthalpy at 0 K (eV per atom) = -0.5073
! - mass density (g cm⁻³) = 9.853
! - space group = C2/m


(15)
! GGA-PBE Ho2Ga9Fe3, optimized geometry; values from VASP
&SYSTEM
  ibrav = 0, nat = 28, ntyp = 3
/
ATOMIC_SPECIES
Ho 164.93 Ho.upf
Fe 55.84 Fe.upf
Ga 69.72 Ga.upf
CELL_PARAMETERS angstrom
6.786 -0.038 -2.857
-3.995 6.185 0.004
0.398 0.300 10.449
ATOMIC_POSITIONS crystal
Ho 0.664 0.751 0.250
Ho 0.999 0.586 0.750
Ho 0.336 0.249 0.750
Ho 0.001 0.414 0.250
Fe 0.154 0.826 0.501
Fe 0.825 0.653 0.999
Fe 0.175 0.347 0.001
Fe 0.846 0.174 0.499
Fe 0.500 0.000 0.000
Fe 0.500 0.500 0.500
Ga 0.124 0.982 0.941
Ga 0.669 0.705 0.751
Ga 0.876 0.018 0.059
Ga 0.783 0.473 0.429
Ga 0.114 0.864 0.250
Ga 0.547 0.083 0.251
Ga 0.544 0.354 0.071
Ga 0.124 0.141 0.430
Ga 0.456 0.646 0.929
Ga 0.886 0.136 0.750
Ga 0.331 0.295 0.249
Ga 0.876 0.859 0.570
Ga 0.541 0.184 0.559
Ga 0.459 0.816 0.441
Ga 0.789 0.306 0.930
Ga 0.453 0.917 0.749
Ga 0.211 0.694 0.070
Ga 0.217 0.527 0.571
! - formation enthalpy at 0 K (eV per atom) = -0.3691
! - mass density (g cm⁻³) = 8.349
! - space group = C2/c


(16)
! GGA-PBE KNa2Pb4, optimized geometry; values from VASP
&SYSTEM
  ibrav = 0, nat = 7, ntyp = 3
/
ATOMIC_SPECIES
K 39.10 K.upf
Pb 207.20 Pb.upf
Na 22.99 Na.upf
CELL_PARAMETERS angstrom
-2.458 -1.506 5.695
3.840 0.866 5.457
-3.381 4.749 3.368
ATOMIC_POSITIONS crystal
K 0.000 0.000 0.000
Pb 0.696 0.998 0.611
Pb 0.695 0.611 0.998
Pb 0.304 0.002 0.389
Pb 0.305 0.389 0.002
Na 0.251 0.501 0.501
Na 0.749 0.499 0.499
! - formation enthalpy at 0 K (eV per atom) = -0.1394
! - mass density (g cm⁻³) = 6.765
! - space group = C2/m


(17)
! GGA-PBE KZrFe3, optimized geometry; values from VASP
&SYSTEM
  ibrav = 0, nat = 5, ntyp = 3
/
ATOMIC_SPECIES
Fe 55.84 Fe.upf
K 39.10 K.upf
Zr 91.22 Zr.upf
CELL_PARAMETERS angstrom
4.465 0.000 0.000
0.000 4.465 0.000
0.000 0.000 4.465
ATOMIC_POSITIONS crystal
Fe 0.000 0.000 0.500
Fe 0.500 0.000 0.000
Fe 0.000 0.500 0.000
K 0.000 0.000 0.000
Zr 0.500 0.500 0.500
! - formation enthalpy at 0 K (eV per atom) = 2.1245
! - mass density (g cm⁻³) = 5.556
! - space group = Pm-3m


(18)
! GGA-PBE Ca2HoGe3Pd4, optimized geometry; values from VASP
&SYSTEM
  ibrav = 0, nat = 10, ntyp = 4
/
ATOMIC_SPECIES
Ca 40.08 Ca.upf
Pd 106.42 Pd.upf
Ge 72.64 Ge.upf
Ho 164.93 Ho.upf
CELL_PARAMETERS angstrom
4.243 0.000 0.000
0.000 4.243 0.000
0.000 0.000 11.367
ATOMIC_POSITIONS crystal
Ca 0.000 0.500 0.773
Ca 0.500 0.000 0.227
Pd 0.000 0.000 0.000
Pd 0.500 0.000 0.659
Pd 0.500 0.500 0.000
Pd 0.000 0.500 0.341
Ge 0.000 0.500 0.124
Ge 0.500 0.000 0.876
Ge 0.000 0.000 0.500
Ho 0.500 0.500 0.500
! - formation enthalpy at 0 K (eV per atom) = -0.7638
! - mass density (g cm⁻³) = 7.210
! - space group = P-4m2


(19)
! GGA-PBE LaAgSe, optimized geometry; values from VASP
&SYSTEM
  ibrav = 0, nat = 3, ntyp = 3
/
ATOMIC_SPECIES
Se 78.96 Se.upf
Ag 107.87 Ag.upf
La 138.91 La.upf
CELL_PARAMETERS angstrom
5.588 -0.084 0.098
4.242 3.640 0.070
1.346 0.514 3.689
ATOMIC_POSITIONS crystal
Se 0.674 0.674 0.326
Ag 0.001 0.001 0.999
La 0.325 0.325 0.675
! - mass density (g cm⁻³) = 7.129
! - space group = I4mm
! - raw formation energy (eV/atom) = -0.88


(20)
! GGA-PBE Ge3N4, optimized geometry; values from VASP
&SYSTEM
  ibrav = 0, nat = 14, ntyp = 2
/
ATOMIC_SPECIES
N 14.01 N.upf
Ge 72.64 Ge.upf
CELL_PARAMETERS angstrom
1.379 -5.468 1.651
-3.755 -4.407 -1.003
1.255 -4.065 -4.054
ATOMIC_POSITIONS crystal
N 0.383 0.383 0.383
N 0.383 0.383 0.851
N 0.867 0.867 0.867
N 0.851 0.383 0.383
N 0.383 0.851 0.383
N 0.399 0.867 0.867
N 0.867 0.399 0.867
N 0.867 0.867 0.399
Ge 0.625 0.625 0.625
Ge 0.125 0.625 0.625
Ge 0.000 0.000 0.000
Ge 0.625 0.625 0.125
Ge 0.625 0.125 0.625
Ge 0.250 0.250 0.250
! - mass density (g cm⁻³) = 6.341
! - space group = Fd-3m
! - raw formation energy (eV/atom) = 0.06


(21)
! GGA-PBE Zr2CoOs2, optimized geometry; values from VASP
&SYSTEM
  ibrav = 0, nat = 10, ntyp = 3
/
ATOMIC_SPECIES
Os 190.23 Os.upf
Co 58.93 Co.upf
Zr 91.22 Zr.upf
CELL_PARAMETERS angstrom
-3.710 -3.382 4.001
-1.566 -3.963 -4.802
3.302 -2.477 0.968
ATOMIC_POSITIONS crystal
Os 0.864 0.636 0.000
Os 0.136 0.364 0.000
Os 0.364 0.864 0.000
Os 0.636 0.136 0.000
Co 0.500 0.500 0.000
Co 0.000 0.000 0.000
Zr 0.320 0.180 0.500
Zr 0.820 0.320 0.500
Zr 0.680 0.820 0.500
Zr 0.180 0.680 0.500
! - formation enthalpy at 0 K (eV per atom) = -0.1005
! - mass density (g cm⁻³) = 11.818
! - space group = P4/mbm


(22)
! GGA-PBE ZrTiTcBi2, optimized geometry; values from VASP
&SYSTEM
  ibrav = 0, nat = 5, ntyp = 4
/
ATOMIC_SPECIES
Ti 47.87 Ti.upf
Bi 208.98 Bi.upf
Zr 91.22 Zr.upf
Tc 98.00 Tc.upf
CELL_PARAMETERS angstrom
-0.154 -4.326 3.166
3.915 1.199 1.828
-2.610 2.827 3.736
ATOMIC_POSITIONS crystal
Ti 0.000 0.500 0.000
Bi 0.000 0.000 0.500
Bi 0.500 0.000 0.000
Zr 0.500 0.500 0.500
Tc 0.000 0.000 0.000
! - formation enthalpy at 0 K (eV per atom) = 0.6748
! - mass density (g cm⁻³) = 8.433
! - space group = P4/mmm


(23)
! GGA-PBE ReAuCl2, optimized geometry; values from VASP
&SYSTEM
  ibrav = 0, nat = 4, ntyp = 3
/
ATOMIC_SPECIES
Au 196.97 Au.upf
Re 186.21 Re.upf
Cl 35.45 Cl.upf
CELL_PARAMETERS angstrom
-2.437 -3.947 2.131
-1.843 -2.932 -3.751
4.688 1.857 0.794
ATOMIC_POSITIONS crystal
Au 0.750 0.250 0.500
Re 0.250 0.750 0.500
Cl 0.500 0.500 0.000
Cl 0.000 0.000 0.000
! - mass density (g cm⁻³) = 10.144
! - space group = I4/mmm
! - raw formation energy (eV/atom) = 1.16


(24)
! GGA-PBE GeTeAs2, optimized geometry; values from VASP
&SYSTEM
  ibrav = 0, nat = 4, ntyp = 3
/
ATOMIC_SPECIES
Ge 72.64 Ge.upf
As 74.92 As.upf
Te 127.60 Te.upf
CELL_PARAMETERS angstrom
3.984 0.000 0.000
1.992 3.450 0.000
1.992 1.150 6.631
ATOMIC_POSITIONS crystal
Ge 0.500 0.500 0.500
As 0.760 0.760 0.720
As 0.240 0.240 0.280
Te 0.000 0.000 0.000
! - mass density (g cm⁻³) = 6.378
! - space group = R-3m
! - raw formation energy (eV/atom) = 0.12